[1]
An optimized crystal structure of TaBeZn2, computed with PBE-GGA.

Energy relative to the elements = 0.32 eV per atom
Volume = 56 Å³/cell
Magnetization = 0.0 μB/f.u.

Lattice parameters (Å, degrees): 4.293 4.293 4.293 60.00 60.00 60.00
Fractional coordinates of all 4 atoms:
Be 0.500 0.500 0.500
Zn 0.000 0.000 0.000
Zn 0.250 0.250 0.250
Ta 0.750 0.750 0.750

=====

[2]
An optimized crystal structure of TaBeZn3, computed with PBE-GGA.

Energy relative to the elements = 0.56 eV per atom
Volume = 73 Å³/cell
Polymorph energy (0 for the lowest one) = 0.0 kJ/mol of formula units
Magnetization = 0.0 μB/f.u.

Lattice parameters (Å, degrees): 4.171 4.171 4.171 90.00 90.00 90.00
Fractional coordinates of all 5 atoms:
Be 0.000 0.000 0.000
Zn 0.000 0.500 0.000
Zn 0.000 0.000 0.500
Zn 0.500 0.000 0.000
Ta 0.500 0.500 0.500

=====

[3]
An optimized crystal structure of TaBeZn, computed with PBE-GGA.

Energy relative to the elements = 0.34 eV per atom
Volume = 43 Å³/cell
Polymorph energy (0 for the lowest one) = 130.4 kJ/mol of formula units
Magnetization = 0.0 μB/f.u.

Lattice parameters (Å, degrees): 3.943 3.943 3.943 60.00 60.00 60.00
Fractional coordinates of all 3 atoms:
Be 0.750 0.750 0.750
Zn 0.500 0.500 0.500
Ta 0.000 0.000 0.000

=====

[4]
An optimized crystal structure of TaBeZn, computed with PBE-GGA.

Energy relative to the elements = -0.03 eV per atom
Volume = 40 Å³/cell
Polymorph energy (0 for the lowest one) = 23.9 kJ/mol of formula units
Magnetization = 0.0 μB/f.u.

Lattice parameters (Å, degrees): 5.485 5.485 2.814 75.14 75.14 29.73
Fractional coordinates of all 3 atoms:
Be 0.012 0.012 0.988
Zn 0.644 0.644 0.356
Ta 0.344 0.344 0.656